# K2Li2Pb

A geometry-optimized K2Li2Pb structure (PBE, Alexandria via LeMat-Bulk).

Geometry as POSCAR:
```
K2Li2Pb
1.0
3.938 0.000 0.000
0.000 3.938 0.000
0.000 0.000 23.618
K Li Pb
4 4 2
Direct
0.000 0.000 0.107 K
0.000 0.000 0.893 K
0.500 0.500 0.393 K
0.500 0.500 0.607 K
0.000 0.500 0.250 Li
0.000 0.500 0.750 Li
0.500 0.000 0.250 Li
0.500 0.000 0.750 Li
0.000 0.000 0.500 Pb
0.500 0.500 0.000 Pb
```

Excess energy over the best structure of this formula in the dataset (meV/atom): 151
Symmetry: No. 139
Calculated formation energy (meV per atom): 92


# BePtSe

A geometry-optimized BePtSe structure (PBE, Alexandria via LeMat-Bulk).

Geometry as POSCAR:
```
BePtSe
1.0
3.428 0.000 0.000
0.000 3.428 0.000
0.000 0.000 9.152
Be Pt Se
2 2 2
Direct
0.250 0.250 0.078 Be
0.750 0.750 0.922 Be
0.250 0.250 0.840 Pt
0.750 0.750 0.160 Pt
0.250 0.750 0.500 Se
0.750 0.250 0.500 Se
```

Symmetry: No. 129
Energy relative to the elements, uncorrected (eV per atom): 0.243


# ReRh2W

A geometry-optimized ReRh2W structure (PBE, Alexandria via LeMat-Bulk).

Geometry as POSCAR:
```
ReRh2W
1.0
5.454 0.000 0.000
0.000 7.912 0.000
0.000 0.000 2.728
Re Rh W
2 4 2
Direct
0.000 0.000 0.000 Re
0.500 0.500 0.000 Re
0.250 0.250 0.500 Rh
0.250 0.750 0.500 Rh
0.750 0.250 0.500 Rh
0.750 0.750 0.500 Rh
0.000 0.500 0.000 W
0.500 0.000 0.000 W
```

Excess energy over the best structure of this formula in the dataset (meV/atom): 73
Symmetry: No. 65
Calculated formation energy (meV per atom): -126


# Sm6Pd2Pb

A geometry-optimized Sm6Pd2Pb structure (PBE, Alexandria via LeMat-Bulk).

Geometry as POSCAR:
```
Sm6Pd2Pb
1.0
-4.791 5.074 5.376
4.791 -5.074 5.376
4.791 5.074 -5.376
Sm Pd Pb
12 4 2
Direct
0.032 0.234 0.798 Sm
0.184 0.291 0.475 Sm
0.184 0.709 0.893 Sm
0.325 0.022 0.697 Sm
0.325 0.628 0.303 Sm
0.435 0.234 0.202 Sm
0.565 0.766 0.798 Sm
0.675 0.372 0.697 Sm
0.675 0.978 0.303 Sm
0.816 0.291 0.107 Sm
0.816 0.709 0.525 Sm
0.968 0.766 0.202 Sm
0.129 0.629 0.500 Pd
0.350 0.000 0.350 Pd
0.650 0.000 0.650 Pd
0.871 0.371 0.500 Pd
0.000 0.000 0.000 Pb
0.500 0.500 0.000 Pb
```

Symmetry: No. 71
Calculated formation energy (meV per atom): -494


Calculated VASP energy in order - -1.854, -4.174, -10.152, -5.206 eV/atom
Calculated spin magnetization in order - 0.000, 0.000, 0.000, 0.000 μB/f.u.